An optimized crystal structure of BaHoZn2. Source: Alexandria via LeMat-Bulk, functional GGA-PBE.

Values from the calculation:
Formation energy from the elements in eV per atom: -0.220
N(E_F) in states/eV/atom: 0.611

Lattice parameters (Å, degrees): 3.7666 3.7666 7.7671 90.00 90.00 90.00
Space group P4/mmm (No. 123)
Inequivalent atoms, fractional coordinates:
1 Ba 0.0000 0.0000 0.0000
2 Ho 0.0000 0.0000 0.5000
3 Zn 0.5000 0.5000 0.3083

***

An optimized crystal structure of CeTeCl. Source: Alexandria via LeMat-Bulk, functional GGA-PBE.

Values from the calculation:
DFT total energy in eV per cell: -64.1
N(E_F) in states/eV/atom: 2.581

Lattice parameters (Å, degrees): 11.7571 4.6069 7.5710 90.00 90.00 90.00
Space group Pnma (No. 62)
Inequivalent atoms, fractional coordinates:
1 Ce 0.1716 0.2500 0.1032
2 Te 0.0996 0.7500 0.8348
3 Cl 0.1477 0.7500 0.3404

***

An optimized crystal structure of SrTcIr. Source: Alexandria via LeMat-Bulk, functional GGA-PBE.

Values from the calculation:
Formation energy from the elements in eV per atom: 1.513
N(E_F) in states/eV/atom: 1.487

Lattice parameters (Å, degrees): 5.2762 5.2762 9.1767 90.00 90.00 120.00
Space group P6_3/mmc (No. 194)
Inequivalent atoms, fractional coordinates:
1 Sr 0.3333 0.6667 0.2500
2 Tc 0.0000 0.0000 0.2500
3 Ir 0.0000 0.0000 0.0000

***

An optimized crystal structure of RbNa2InHg. Source: Alexandria via LeMat-Bulk, functional GGA-PBE.

Values from the calculation:
Formation energy from the elements in eV per atom: -0.050
N(E_F) in states/eV/atom: 0.384

Lattice parameters (Å, degrees): 6.0591 6.0591 5.7411 90.00 90.00 90.00
Space group P4/mmm (No. 123)
Inequivalent atoms, fractional coordinates:
1 Rb 0.0000 0.0000 0.0000
2 Na 0.0000 0.5000 0.5000
3 In 0.5000 0.5000 0.5000
4 Hg 0.5000 0.5000 0.0000

***

An optimized crystal structure of La6PmSm3. Source: Alexandria via LeMat-Bulk, functional GGA-PBE.

Values from the calculation:
Formation energy from the elements in eV per atom: 0.188
N(E_F) in states/eV/atom: 1.913

Lattice parameters (Å, degrees): 10.1482 10.1482 12.2441 90.00 90.00 120.00
Space group R3 (No. 146, hexagonal axes)
Inequivalent atoms, fractional coordinates:
1 La 0.0098 0.3411 0.0000
2 La 0.0099 0.6688 0.5001
3 Pm 0.0000 0.0000 0.3310
4 Sm 0.0000 0.0000 0.0820
5 Sm 0.0000 0.0000 0.5829
6 Sm 0.0000 0.0000 0.8311

***

An optimized crystal structure of Zn5Pt2Au2. Source: Alexandria via LeMat-Bulk, functional GGA-PBE.

Values from the calculation:
Formation energy from the elements in eV per atom: -0.269
N(E_F) in states/eV/atom: 0.414

Lattice parameters (Å, degrees): 16.5086 4.5375 7.5494 90.00 90.00 90.00
Space group Ima2 (No. 46)
Inequivalent atoms, fractional coordinates:
1 Zn 0.0832 0.0050 0.0000
2 Zn 0.1625 0.0011 0.3327
3 Zn 0.2500 0.5652 0.1712
4 Pt 0.0915 0.5068 0.1624
5 Au 0.0000 0.0000 0.3259
6 Au 0.2500 0.0691 0.0075

***

An optimized crystal structure of BaCd4Fe. Source: Alexandria via LeMat-Bulk, functional GGA-PBE.

Values from the calculation:
Formation energy from the elements in eV per atom: 0.223
N(E_F) in states/eV/atom: 1.308

Lattice parameters (Å, degrees): 8.4428 8.4428 8.4428 90.00 90.00 90.00
Space group F-43m (No. 216)
Inequivalent atoms, fractional coordinates:
1 Ba 0.0000 0.0000 0.0000
2 Cd 0.1236 0.1236 0.6236
3 Fe 0.2500 0.2500 0.2500

***

An optimized crystal structure of TiAl4Rh. Source: Alexandria via LeMat-Bulk, functional GGA-PBE.

Values from the calculation:
Formation energy from the elements in eV per atom: -0.519
N(E_F) in states/eV/atom: 0.527

Lattice parameters (Å, degrees): 5.1535 5.5395 7.3818 101.54 106.35 106.82
Space group P-1 (No. 2)
Inequivalent atoms, fractional coordinates:
1 Ti 0.2139 0.2905 0.4400
2 Al 0.2135 0.9391 0.1112
3 Al 0.2583 0.7920 0.4413
4 Al 0.2599 0.6315 0.7963
5 Al 0.2697 0.1457 0.7946
6 Rh 0.2744 0.4656 0.1232

***

An optimized crystal structure of Be2InCl. Source: Alexandria via LeMat-Bulk, functional GGA-PBE.

Values from the calculation:
DFT total energy in eV per cell: -10.9
N(E_F) in states/eV/atom: 0.297

Lattice parameters (Å, degrees): 3.0439 4.8575 4.6471 90.00 90.00 90.00
Space group Pmm2 (No. 25)
Inequivalent atoms, fractional coordinates:
1 Be 0.0000 0.0000 0.0000
2 Be 0.5000 0.5000 0.2826
3 In 0.5000 0.0000 0.5120
4 Cl 0.0000 0.5000 0.9804

***

An optimized crystal structure of La4Tb10Tm. Source: Alexandria via LeMat-Bulk, functional GGA-PBE.

Values from the calculation:
Formation energy from the elements in eV per atom: 0.355
N(E_F) in states/eV/atom: 1.535

Lattice parameters (Å, degrees): 9.8519 9.8519 10.6668 90.00 90.00 90.00
Space group I4/m (No. 87)
Inequivalent atoms, fractional coordinates:
1 La 0.0643 0.6666 0.0000
2 Tb 0.0000 0.5000 0.2500
3 Tb 0.1135 0.7916 0.3386
4 Tm 0.0000 0.0000 0.0000

***

An optimized crystal structure of SmDy5Er2Tm. Source: Alexandria via LeMat-Bulk, functional GGA-PBE.

Values from the calculation:
Formation energy from the elements in eV per atom: 0.155
N(E_F) in states/eV/atom: 1.569

Lattice parameters (Å, degrees): 5.5631 19.8102 10.5648 90.00 90.00 90.00
Space group Cmc2_1 (No. 36)
Inequivalent atoms, fractional coordinates:
1 Sm 0.0000 0.2004 0.0000
2 Dy 0.0000 0.0175 0.0144
3 Dy 0.0000 0.2818 0.2954
4 Dy 0.0000 0.3004 0.6963
5 Dy 0.0000 0.3927 0.0128
6 Dy 0.0000 0.4791 0.7279
7 Er 0.0000 0.1087 0.7281
8 Er 0.0000 0.1136 0.3070
9 Tm 0.0000 0.4130 0.4461

***

An optimized crystal structure of TeAs. Source: Alexandria via LeMat-Bulk, functional GGA-PBE.

Values from the calculation:
DFT total energy in eV per cell: -14.1
N(E_F) in states/eV/atom: 0.925

Lattice parameters (Å, degrees): 4.2716 4.2716 10.8121 90.00 90.00 120.00
Space group P6_3mc (No. 186)
Inequivalent atoms, fractional coordinates:
1 Te 0.3333 0.6667 0.0000
2 As 0.3333 0.6667 0.6117

***

An optimized crystal structure of TmZrSc3. Source: Alexandria via LeMat-Bulk, functional GGA-PBE.

Values from the calculation:
Formation energy from the elements in eV per atom: 0.036
N(E_F) in states/eV/atom: 1.356

Lattice parameters (Å, degrees): 16.8276 4.5979 6.6150 90.00 101.34 90.00
Space group C2/m (No. 12)
Inequivalent atoms, fractional coordinates:
1 Tm 0.1022 0.0000 0.0559
2 Zr 0.2038 0.5000 0.3644
3 Sc 0.0018 0.5000 0.2559
4 Sc 0.1049 0.0000 0.5480
5 Sc 0.2024 0.5000 0.8417

***

An optimized crystal structure of Hf12MoPb6. Source: Alexandria via LeMat-Bulk, functional GGA-PBE.

Values from the calculation:
Formation energy from the elements in eV per atom: 0.137
N(E_F) in states/eV/atom: 0.761

Lattice parameters (Å, degrees): 10.8716 10.8716 12.6768 90.00 90.00 120.00
Space group R-3 (No. 148, hexagonal axes)
Inequivalent atoms, fractional coordinates:
1 Hf 0.0460 0.1798 0.3144
2 Hf 0.0655 0.8602 0.9087
3 Mo 0.0000 0.0000 0.5000
4 Pb 0.0249 0.4337 0.2119

***

An optimized crystal structure of Tb3Tm2Sc2. Source: Alexandria via LeMat-Bulk, functional GGA-PBE.

Values from the calculation:
Formation energy from the elements in eV per atom: 0.039
N(E_F) in states/eV/atom: 1.552

Lattice parameters (Å, degrees): 5.1718 23.2001 3.4239 90.00 90.00 90.00
Space group Cmmm (No. 65)
Inequivalent atoms, fractional coordinates:
1 Tb 0.0000 0.0000 0.0000
2 Tb 0.0000 0.1559 0.0000
3 Tm 0.0000 0.4256 0.5000
4 Sc 0.0000 0.2842 0.5000

***

An optimized crystal structure of YMgCoCu. Source: Alexandria via LeMat-Bulk, functional GGA-PBE.

Values from the calculation:
Formation energy from the elements in eV per atom: -0.048
N(E_F) in states/eV/atom: 0.816

Lattice parameters (Å, degrees): 6.5484 6.5484 6.5484 90.00 90.00 90.00
Space group F-43m (No. 216)
Inequivalent atoms, fractional coordinates:
1 Y 0.0000 0.0000 0.0000
2 Mg 0.0000 0.0000 0.5000
3 Co 0.2500 0.2500 0.2500
4 Cu 0.2500 0.2500 0.7500

***

An optimized crystal structure of Cs2KCl. Source: Alexandria via LeMat-Bulk, functional GGA-PBE.

Values from the calculation:
DFT total energy in eV per cell: -16.8
N(E_F) in states/eV/atom: 0.564

Lattice parameters (Å, degrees): 8.6820 5.0146 12.6305 90.00 90.15 90.00
Space group P2_1/m (No. 11)
Inequivalent atoms, fractional coordinates:
1 Cs 0.0844 0.2500 0.1639
2 Cs 0.4155 0.2500 0.8361
3 K 0.2496 0.7500 0.4993
4 Cl 0.2498 0.7500 0.9997

***

An optimized crystal structure of Rb5Pu2O12. Source: Alexandria via LeMat-Bulk, functional GGA-PBE.

Values from the calculation:
DFT total energy in eV per cell: -127.1
N(E_F) in states/eV/atom: 0.201

Lattice parameters (Å, degrees): 6.7356 7.5501 8.7731 70.34 82.15 71.71
Space group P-1 (No. 2)
Inequivalent atoms, fractional coordinates:
1 Rb 0.0000 0.0000 0.0000
2 Rb 0.0087 0.7242 0.5487
3 Rb 0.4998 0.2769 0.2074
4 Pu 0.4933 0.2456 0.7477
5 O 0.2710 0.4419 0.8060
6 O 0.2775 0.9259 0.3385
7 O 0.2999 0.1456 0.6855
8 O 0.3172 0.6817 0.1580
9 O 0.4099 0.0655 0.0249
10 O 0.4258 0.4701 0.4704

***

An optimized crystal structure of Tb11Hg9Pt4. Source: Alexandria via LeMat-Bulk, functional GGA-PBE.

Values from the calculation:
Formation energy from the elements in eV per atom: -0.755
N(E_F) in states/eV/atom: 0.727

Lattice parameters (Å, degrees): 14.5667 22.0234 3.6687 90.00 90.00 90.00
Space group Cmmm (No. 65)
Inequivalent atoms, fractional coordinates:
1 Tb 0.0000 0.0000 0.0000
2 Tb 0.0000 0.1666 0.0000
3 Tb 0.0000 0.3712 0.0000
4 Tb 0.1994 0.5000 0.0000
5 Tb 0.2453 0.1691 0.0000
6 Hg 0.0000 0.5000 0.5000
7 Hg 0.1079 0.2595 0.5000
8 Hg 0.1370 0.0742 0.5000
9 Pt 0.1505 0.4008 0.5000

***

An optimized crystal structure of Ba3Pd2Au4. Source: Alexandria via LeMat-Bulk, functional GGA-PBE.

Values from the calculation:
Formation energy from the elements in eV per atom: -0.663
N(E_F) in states/eV/atom: 0.348

Lattice parameters (Å, degrees): 11.9629 4.8016 9.3082 90.00 106.00 90.00
Space group C2/m (No. 12)
Inequivalent atoms, fractional coordinates:
1 Ba 0.0000 0.0000 0.0000
2 Ba 0.1689 0.5000 0.6625
3 Pd 0.1079 0.5000 0.2787
4 Au 0.0548 0.0000 0.3829
5 Au 0.2200 0.5000 0.0593

***

An optimized crystal structure of Hf5Ti3Pb3. Source: Alexandria via LeMat-Bulk, functional GGA-PBE.

Values from the calculation:
Formation energy from the elements in eV per atom: 0.104
N(E_F) in states/eV/atom: 0.941

Lattice parameters (Å, degrees): 3.1926 7.9860 10.5421 111.51 97.10 94.35
Space group P1 (No. 1)
Inequivalent atoms, fractional coordinates:
1 Hf 0.0000 0.0000 0.0000
2 Hf 0.0738 0.6927 0.2655
3 Hf 0.4107 0.7673 0.7273
4 Hf 0.6849 0.0398 0.2728
5 Hf 0.8073 0.4275 0.7343
6 Ti 0.1724 0.1247 0.7918
7 Ti 0.3819 0.3327 0.2081
8 Ti 0.7858 0.3586 0.9999
9 Pb 0.0132 0.4575 0.4665
10 Pb 0.4311 0.6765 0.0000
11 Pb 0.5426 0.9915 0.5334